Record 1
Compound: Al2In2Sb
Source: Alexandria
Functional: PBE-GGA
Structure: optimized geometry

Cell: 7.407 7.407 4.460 Å, 90.00 90.00 90.00°
Positions (direct):
Sb 0.000 0.000 0.000
Sb 0.500 0.500 0.000
Al 0.373 0.873 0.000
Al 0.873 0.627 0.000
Al 0.627 0.127 0.000
Al 0.127 0.373 0.000
In 0.174 0.674 0.500
In 0.674 0.826 0.500
In 0.826 0.326 0.500
In 0.326 0.174 0.500

Calculated values
Its formation energy without anion corrections is 0.141 eV/atom. As for the total energy: -3.276 eV/atom. The value obtained for the energy relative to the lowest polymorph listed for this composition is 0.000 eV/atom.



Record 2
Compound: AlInSb
Source: Alexandria
Functional: PBE-GGA
Structure: optimized geometry

Cell: 4.194 4.260 10.646 Å, 94.20 90.00 119.49°
Positions (direct):
Al 0.274 0.548 0.087
Al 0.726 0.452 0.913
In 0.325 0.650 0.403
In 0.675 0.350 0.597
Sb 0.034 0.069 0.786
Sb 0.966 0.931 0.214

Calculated values
Its formation energy without anion corrections is 0.064 eV/atom. As for the total energy: -3.470 eV/atom. The value obtained for the energy relative to the lowest polymorph listed for this composition is 0.000 eV/atom.



Record 3
Compound: AlInSb2
Source: Alexandria
Functional: PBE-GGA
Structure: optimized geometry

Cell: 6.026 6.026 6.026 Å, 142.94 129.30 64.45°
Positions (direct):
Sb 0.984 0.984 0.000
Sb 0.739 0.239 0.500
Al 0.514 0.514 0.000
In 0.262 0.762 0.500

Calculated values
Its formation energy without anion corrections is 0.195 eV/atom. As for the total energy: -3.486 eV/atom. The value obtained for the energy relative to the lowest polymorph listed for this composition is 0.337 eV/atom.



Record 4
Compound: AlInSb2
Source: Alexandria
Functional: PBE-GGA
Structure: optimized geometry

Cell: 3.226 3.226 9.867 Å, 90.00 90.00 97.97°
Positions (direct):
Sb 0.000 0.000 0.974
Sb 0.500 0.500 0.294
Al 0.000 0.000 0.506
In 0.500 0.500 0.726

Calculated values
Its formation energy without anion corrections is 0.169 eV/atom. As for the total energy: -3.512 eV/atom. The value obtained for the energy relative to the lowest polymorph listed for this composition is 0.311 eV/atom.



Record 5
Compound: AlInSb2
Source: Alexandria
Functional: PBE-GGA
Structure: optimized geometry

Cell: 10.124 10.124 10.124 Å, 19.66 19.66 19.66°
Positions (direct):
Sb 0.010 0.010 0.010
Sb 0.234 0.234 0.234
Al 0.497 0.497 0.497
In 0.759 0.759 0.759

Calculated values
Its formation energy without anion corrections is 0.201 eV/atom. As for the total energy: -3.481 eV/atom. The value obtained for the energy relative to the lowest polymorph listed for this composition is 0.342 eV/atom.



Record 6
Compound: Al2In2Sb
Source: Alexandria
Functional: PBE-GGA
Structure: optimized geometry

Cell: 8.696 8.696 3.166 Å, 90.00 90.00 90.00°
Positions (direct):
Sb 0.000 0.000 0.000
Sb 0.500 0.500 0.000
Al 0.114 0.614 0.500
Al 0.614 0.886 0.500
Al 0.886 0.386 0.500
Al 0.386 0.114 0.500
In 0.318 0.818 0.000
In 0.818 0.682 0.000
In 0.682 0.182 0.000
In 0.182 0.318 0.000

Calculated values
Its formation energy without anion corrections is 0.200 eV/atom. As for the total energy: -3.217 eV/atom. The value obtained for the energy relative to the lowest polymorph listed for this composition is 0.058 eV/atom.



Record 7
Compound: AlInSb2
Source: Alexandria
Functional: PBE-GGA
Structure: optimized geometry

Cell: 5.208 5.208 5.208 Å, 60.00 60.00 60.00°
Positions (direct):
Sb 0.250 0.250 0.250
Sb 0.750 0.750 0.750
Al 0.000 0.000 0.000
In 0.500 0.500 0.500

Calculated values
Its formation energy without anion corrections is 0.203 eV/atom. As for the total energy: -3.478 eV/atom. The value obtained for the energy relative to the lowest polymorph listed for this composition is 0.345 eV/atom.



Record 8
Compound: AlInSb2
Source: Alexandria
Functional: PBE-GGA
Structure: optimized geometry

Cell: 6.341 6.341 6.341 Å, 145.39 134.82 58.13°
Positions (direct):
Sb 0.954 0.954 0.000
Sb 0.546 0.546 0.000
Al 0.750 0.250 0.500
In 0.250 0.750 0.500

Calculated values
Its formation energy without anion corrections is 0.140 eV/atom. As for the total energy: -3.541 eV/atom. The value obtained for the energy relative to the lowest polymorph listed for this composition is 0.282 eV/atom.



Record 9
Compound: Al4InSb
Source: Alexandria
Functional: PBE-GGA
Structure: optimized geometry

Cell: 5.586 5.586 5.586 Å, 60.00 60.00 60.00°
Positions (direct):
Al 0.875 0.375 0.375
Al 0.375 0.375 0.875
Al 0.375 0.875 0.375
Al 0.375 0.375 0.375
In 0.750 0.750 0.750
Sb 0.000 0.000 0.000

Calculated values
Its formation energy without anion corrections is 0.190 eV/atom. As for the total energy: -3.449 eV/atom.



Record 10
Compound: AlInSb2
Source: Alexandria
Functional: PBE-GGA
Structure: optimized geometry

Cell: 7.178 7.178 4.131 Å, 73.34 73.34 31.81°
Positions (direct):
Sb 0.022 0.022 0.978
Sb 0.809 0.809 0.693
Al 0.466 0.466 0.533
In 0.204 0.204 0.297

Calculated values
Its formation energy without anion corrections is 0.111 eV/atom. As for the total energy: -3.570 eV/atom. The value obtained for the energy relative to the lowest polymorph listed for this composition is 0.253 eV/atom.



Record 11
Compound: AlInSb2
Source: Alexandria
Functional: PBE-GGA
Structure: optimized geometry

Cell: 3.296 3.296 9.848 Å, 90.00 90.00 107.53°
Positions (direct):
Sb 0.000 0.000 0.031
Sb 0.000 0.000 0.469
Al 0.500 0.500 0.250
In 0.500 0.500 0.750

Calculated values
Its formation energy without anion corrections is 0.147 eV/atom. As for the total energy: -3.534 eV/atom. The value obtained for the energy relative to the lowest polymorph listed for this composition is 0.289 eV/atom.



Record 12
Compound: Al2In2Sb
Source: Alexandria
Functional: PBE-GGA
Structure: optimized geometry

Cell: 3.888 3.888 8.618 Å, 76.96 76.96 90.00°
Positions (direct):
Sb 0.000 0.000 0.000
Al 0.750 0.250 0.500
Al 0.250 0.750 0.500
In 0.396 0.396 0.207
In 0.604 0.604 0.793

Calculated values
Its formation energy without anion corrections is 0.200 eV/atom. As for the total energy: -3.217 eV/atom. The value obtained for the energy relative to the lowest polymorph listed for this composition is 0.059 eV/atom.



no.,total magnetization (μB/atom),D(E_F) (states/eV per atom)
1,0.000,0.46
2,0.000,0.30
3,0.000,0.54
4,0.000,0.30
5,0.000,0.32
6,0.000,0.52
7,0.000,0.59
8,0.000,0.48
9,0.000,0.80
10,0.000,0.50
11,0.000,0.50
12,0.000,0.52